[1]
{"formula": "Cs6K7", "functional": "GGA-PBE", "state": "optimized geometry", "magmom_total_mub_per_cell": 0.0, "formation_enthalpy_0k_ev_per_atom": -0.0063, "density_g_cm3": 1.5, "lattice_angstrom": [[-4.866, 2.717, 7.164], [-0.758, -8.521, -3.033], [24.682, -9.439, 20.346]], "species": ["K", "K", "K", "K", "K", "K", "K", "K", "K", "K", "K", "K", "K", "K", "Cs", "Cs", "Cs", "Cs", "Cs", "Cs", "Cs", "Cs", "Cs", "Cs", "Cs", "Cs"], "frac_coords": [[0.832, 0.168, 0.613], [0.168, 0.335, 0.113], [0.832, 0.168, 0.887], [0.000, 0.000, 0.500], [0.168, 0.832, 0.387], [0.832, 0.665, 0.613], [0.168, 0.832, 0.113], [0.168, 0.335, 0.387], [0.832, 0.665, 0.887], [0.665, 0.832, 0.387], [0.000, 0.000, 0.000], [0.335, 0.168, 0.887], [0.665, 0.832, 0.113], [0.335, 0.168, 0.613], [0.333, 0.667, 0.523], [0.333, 0.667, 0.977], [0.333, 0.667, 0.823], [0.000, 0.000, 0.250], [0.667, 0.333, 0.177], [0.000, 0.000, 0.750], [0.333, 0.667, 0.250], [0.667, 0.333, 0.323], [0.667, 0.333, 0.750], [0.333, 0.667, 0.677], [0.667, 0.333, 0.477], [0.667, 0.333, 0.023]]}

=====

[2]
{"formula": "Cs3K", "functional": "GGA-PBE", "state": "optimized geometry", "magmom_total_mub_per_cell": 0.0, "formation_enthalpy_0k_ev_per_atom": 0.0044, "density_g_cm3": 1.8, "lattice_angstrom": [[-5.008, 4.921, 4.811], [-6.008, 2.139, -8.443], [-2.269, -8.312, 6.141]], "species": ["Cs", "Cs", "Cs", "Cs", "Cs", "Cs", "K", "K"], "frac_coords": [[0.750, 0.341, 0.171], [0.750, 0.829, 0.659], [0.250, 0.659, 0.829], [0.250, 0.171, 0.829], [0.750, 0.829, 0.171], [0.250, 0.171, 0.341], [0.250, 0.667, 0.333], [0.750, 0.333, 0.667]]}

=====

[3]
{"formula": "Cs2K17", "functional": "GGA-PBE", "state": "optimized geometry", "magmom_total_mub_per_cell": 0.0, "formation_enthalpy_0k_ev_per_atom": 0.0205, "density_g_cm3": 1.0, "lattice_angstrom": [[-6.690, 7.495, -5.751], [-1.318, -6.100, -9.749], [-10.271, -4.766, 2.405]], "species": ["K", "K", "K", "K", "K", "K", "K", "K", "K", "K", "K", "K", "K", "K", "K", "K", "K", "Cs", "Cs"], "frac_coords": [[0.155, 0.646, 0.646], [0.000, 0.500, 0.000], [0.902, 0.902, 0.902], [0.646, 0.646, 0.155], [0.000, 0.699, 0.301], [0.000, 0.000, 0.500], [0.354, 0.845, 0.354], [0.646, 0.155, 0.646], [0.354, 0.354, 0.845], [0.301, 0.699, 0.000], [0.098, 0.098, 0.098], [0.500, 0.000, 0.000], [0.000, 0.301, 0.699], [0.845, 0.354, 0.354], [0.699, 0.000, 0.301], [0.699, 0.301, 0.000], [0.301, 0.000, 0.699], [0.666, 0.666, 0.666], [0.334, 0.334, 0.334]]}

=====

[4]
{"formula": "CsK6", "functional": "GGA-PBE", "state": "optimized geometry", "magmom_total_mub_per_cell": 0.0, "formation_enthalpy_0k_ev_per_atom": 0.0525, "density_g_cm3": 1.0, "lattice_angstrom": [[6.897, 0.000, 0.000], [0.000, 6.897, 0.000], [0.000, 0.000, 12.249]], "species": ["K", "K", "K", "K", "K", "K", "Cs"], "frac_coords": [[0.500, 0.500, 0.000], [0.000, 0.500, 0.282], [0.500, 0.000, 0.282], [0.500, 0.000, 0.718], [0.000, 0.000, 0.500], [0.000, 0.500, 0.718], [0.000, 0.000, 0.000]]}

=====

[5]
{"formula": "Cs3K", "functional": "GGA-PBE", "state": "optimized geometry", "magmom_total_mub_per_cell": 0.0, "formation_enthalpy_0k_ev_per_atom": 0.0039, "density_g_cm3": 1.8, "lattice_angstrom": [[-3.566, -4.314, -1.114], [0.294, -1.797, 6.016], [-9.025, 6.820, 2.479]], "species": ["Cs", "Cs", "Cs", "K"], "frac_coords": [[0.000, 0.000, 0.500], [0.500, 0.500, 0.772], [0.500, 0.500, 0.228], [0.000, 0.000, 0.000]]}

=====

[6]
{"formula": "CsK4", "functional": "GGA-PBE", "state": "optimized geometry", "magmom_total_mub_per_cell": 0.0, "formation_enthalpy_0k_ev_per_atom": 0.0501, "density_g_cm3": 1.1, "lattice_angstrom": [[-1.858, -0.988, 5.861], [1.485, -6.022, -0.556], [10.342, 5.679, 0.934]], "species": ["K", "K", "K", "K", "Cs"], "frac_coords": [[0.250, 0.250, 0.000], [0.750, 0.750, 0.000], [0.100, 0.600, 0.700], [0.900, 0.400, 0.300], [0.500, 0.000, 0.500]]}

=====

[7]
{"formula": "Cs15K", "functional": "GGA-PBE", "state": "optimized geometry", "magmom_total_mub_per_cell": 0.0, "formation_enthalpy_0k_ev_per_atom": 0.0025, "density_g_cm3": 1.9, "lattice_angstrom": [[10.926, 0.000, 0.000], [-5.463, 9.462, 0.000], [0.000, 0.000, 17.589]], "species": ["Cs", "Cs", "Cs", "Cs", "Cs", "Cs", "Cs", "Cs", "Cs", "Cs", "Cs", "Cs", "Cs", "Cs", "Cs", "K"], "frac_coords": [[0.003, 0.502, 0.000], [0.502, 0.003, 0.500], [0.498, 0.997, 0.000], [0.836, 0.671, 0.244], [0.502, 0.498, 0.500], [0.498, 0.502, 0.000], [0.333, 0.667, 0.746], [0.000, 0.000, 0.500], [0.836, 0.164, 0.244], [0.333, 0.667, 0.254], [0.997, 0.498, 0.500], [0.329, 0.164, 0.244], [0.836, 0.671, 0.756], [0.836, 0.164, 0.756], [0.329, 0.164, 0.756], [0.000, 0.000, 0.000]]}

=====

[8]
{"formula": "CsK", "functional": "GGA-PBE", "state": "optimized geometry", "magmom_total_mub_per_cell": 0.0, "formation_enthalpy_0k_ev_per_atom": 0.0069, "density_g_cm3": 1.5, "lattice_angstrom": [[5.260, 0.000, -1.295], [-0.959, 7.234, -3.895], [-0.376, -0.042, 9.803]], "species": ["K", "K", "Cs", "Cs"], "frac_coords": [[0.858, 0.575, 0.717], [0.142, 0.425, 0.283], [0.612, 0.888, 0.224], [0.388, 0.112, 0.776]]}